Record 1
ZrSiAg2 after structural relaxation. Source: the Alexandria database, functional GGA-PBEsol.

Summary:
**Space group**: P4/mmm, No. 123
**Formation energy (no corrections)**: 0.04 eV/atom

Unit cell a=3.583 b=3.583 c=5.591 alpha=90.00 beta=90.00 gamma=90.00
Positions (direct):
Zr 0.000 0.000 0.000
Si 0.000 0.000 0.500
Ag 0.500 0.500 0.256
Ag 0.500 0.500 0.744

Record 2
HfFe2Cu after structural relaxation. Source: the Alexandria database, functional GGA-PBEsol.

Summary:
**Space group**: Fm-3m, No. 225
**Calculated formation energy**: 66 meV/atom

Unit cell a=5.906 b=5.906 c=5.906 alpha=90.00 beta=90.00 gamma=90.00
Positions (direct):
Hf 0.000 0.000 0.000
Hf 0.000 0.500 0.500
Hf 0.500 0.000 0.500
Hf 0.500 0.500 0.000
Fe 0.250 0.250 0.250
Fe 0.250 0.250 0.750
Fe 0.250 0.750 0.250
Fe 0.250 0.750 0.750
Fe 0.750 0.250 0.250
Fe 0.750 0.250 0.750
Fe 0.750 0.750 0.250
Fe 0.750 0.750 0.750
Cu 0.000 0.000 0.500
Cu 0.000 0.500 0.000
Cu 0.500 0.000 0.000
Cu 0.500 0.500 0.500

Record 3
CoMoIr2 after structural relaxation. Source: the Alexandria database, functional GGA-PBEsol.

Summary:
**Space group**: P4mm, No. 99
**Calculated formation energy**: -22 meV/atom
**Excess energy over the best structure of this formula in the dataset**: 173 meV per atom

Unit cell a=2.681 b=2.681 c=7.455 alpha=90.00 beta=90.00 gamma=90.00
Positions (direct):
Co 0.000 0.000 0.000
Mo 0.500 0.500 0.760
Ir 0.000 0.000 0.494
Ir 0.500 0.500 0.232

Q: Which density of states at the Fermi level values were calculated for the entries above? A: 2.95; 4.20; 5.02, in states/eV/f.u..
Q: Which E values were calculated for the entries above? A: -5.33; -8.13; -9.81, in eV/atom.